Record 1
Compound: RbHfIn
Source: the Alexandria database
Functional: PBE
Structure: optimized geometry

Energy of formation ... 1.152 eV per formula unit
Total moment ... 0.00 μB/cell
D(E_F) ... 8.0 states/eV per cell

Geometry as CIF:
```
data_RbHfIn
_cell_length_a 9.122
_cell_length_b 3.172
_cell_length_c 12.198
_cell_angle_alpha 90.00
_cell_angle_beta 90.00
_cell_angle_gamma 90.00
_space_group_name_H-M_alt 'P n m a'
_space_group_IT_number 62
loop_
_space_group_symop_operation_xyz
'x,y,z'
'-x,-y,-z'
'-x+1/2,-y,z+1/2'
'x+1/2,y,-z+1/2'
'x+1/2,-y+1/2,-z+1/2'
'-x+1/2,y+1/2,z+1/2'
'-x,y+1/2,-z'
'x,-y+1/2,z'
loop_
_atom_site_label
_atom_site_fract_x
_atom_site_fract_y
_atom_site_fract_z
Rb1 0.147 0.250 0.071
Hf1 0.038 0.250 0.392
In1 0.177 0.250 0.782
```

---

Record 2
Compound: Ba2Tl3Pt
Source: the Alexandria database
Functional: PBE
Structure: optimized geometry

Energy of formation ... -2.687 eV per formula unit
Total moment ... 0.00 μB/cell
D(E_F) ... 7.2 states/eV per cell

Geometry as CIF:
```
data_Ba2Tl3Pt
_cell_length_a 11.897
_cell_length_b 5.094
_cell_length_c 8.239
_cell_angle_alpha 90.00
_cell_angle_beta 129.47
_cell_angle_gamma 90.00
_space_group_name_H-M_alt 'C 1 m 1'
_space_group_IT_number 8
loop_
_space_group_symop_operation_xyz
'x,y,z'
'x,-y,z'
'x+1/2,y+1/2,z'
'x+1/2,-y+1/2,z'
loop_
_atom_site_label
_atom_site_fract_x
_atom_site_fract_y
_atom_site_fract_z
Ba1 0.000 0.000 0.000
Ba2 0.121 0.000 0.610
Tl1 0.194 0.500 0.988
Tl2 0.248 0.500 0.419
Tl3 0.388 0.000 0.225
Pt1 0.400 0.000 0.594
```

---

Record 3
Compound: SrSNCl2
Source: the Alexandria database
Functional: PBE
Structure: optimized geometry

Formation energy (no corrections) ... -0.331 eV per atom
Total moment ... 0.00 μB/cell
D(E_F) ... 2.7 states/eV per cell

Geometry as CIF:
```
data_SrSNCl2
_cell_length_a 5.595
_cell_length_b 5.595
_cell_length_c 3.489
_cell_angle_alpha 90.00
_cell_angle_beta 90.00
_cell_angle_gamma 90.00
_space_group_name_H-M_alt 'P 4/m m m'
_space_group_IT_number 123
_space_group_name_Hall '-P 4 2'
loop_
_atom_site_label
_atom_site_fract_x
_atom_site_fract_y
_atom_site_fract_z
Sr1 0.000 0.000 0.000
S1 0.500 0.500 0.000
N1 0.500 0.500 0.500
Cl1 0.000 0.500 0.500
```

---

Copy entry 1 word for word.
Compound: RbHfIn
Source: the Alexandria database
Functional: PBE
Structure: optimized geometry

Energy of formation ... 1.152 eV per formula unit
Total moment ... 0.00 μB/cell
D(E_F) ... 8.0 states/eV per cell

Geometry as CIF:
```
data_RbHfIn
_cell_length_a 9.122
_cell_length_b 3.172
_cell_length_c 12.198
_cell_angle_alpha 90.00
_cell_angle_beta 90.00
_cell_angle_gamma 90.00
_space_group_name_H-M_alt 'P n m a'
_space_group_IT_number 62
loop_
_space_group_symop_operation_xyz
'x,y,z'
'-x,-y,-z'
'-x+1/2,-y,z+1/2'
'x+1/2,y,-z+1/2'
'x+1/2,-y+1/2,-z+1/2'
'-x+1/2,y+1/2,z+1/2'
'-x,y+1/2,-z'
'x,-y+1/2,z'
loop_
_atom_site_label
_atom_site_fract_x
_atom_site_fract_y
_atom_site_fract_z
Rb1 0.147 0.250 0.071
Hf1 0.038 0.250 0.392
In1 0.177 0.250 0.782
```

---

Q: Among the records above, which one has the highest D(E_F)?
A: RbHfIn

---

Q: Which value of D(E_F) does entry 2 give?
A: 7.2 states/eV per cell

---

Q: Which of these has the lowest D(E_F)?
A: SrSNCl2